Entry 1:
! PBE-GGA HfNbOs2I, relaxed; values from VASP
! SG: P4/mmm (123)
! E_form (uncorrected), kcal/mol of atoms: 44.8
! Crystal system: tetragonal
&SYSTEM
  ibrav = 0, nat = 5, ntyp = 4
/
ATOMIC_SPECIES
Nb 92.91 Nb.upf
Os 190.23 Os.upf
I 126.90 I.upf
Hf 178.49 Hf.upf
ATOMIC_POSITIONS crystal
Nb 0.000 0.500 0.000
Os 0.500 0.000 0.000
I 0.000 0.000 0.000
Hf 0.500 0.500 0.500
Os 0.000 0.000 0.500
CELL_PARAMETERS angstrom
-3.896 2.428 1.304
-2.340 -1.597 -4.020
-1.561 -3.805 2.421



Entry 2:
! PBE-GGA NaZrF3, relaxed; values from VASP
! SG: Pm-3m (221)
! ΔE to the lowest computed polymorph, meV/atom: 0
! E_form (uncorrected), kcal/mol of atoms: -57.0
! Crystal system: cubic
&SYSTEM
  ibrav = 0, nat = 5, ntyp = 3
/
ATOMIC_SPECIES
Na 22.99 Na.upf
F 19.00 F.upf
Zr 91.22 Zr.upf
ATOMIC_POSITIONS crystal
Na 0.500 0.500 0.500
F 0.500 0.000 0.000
F 0.000 0.500 0.000
F 0.000 0.000 0.500
Zr 0.000 0.000 0.000
CELL_PARAMETERS angstrom
4.410 0.000 0.000
0.000 4.410 0.000
0.000 0.000 4.410



Entry 3:
! PBE-GGA TcSbAs2, relaxed; values from VASP
! SG: Pmmm (47)
! E_form (uncorrected), kcal/mol of atoms: 12.2
! Crystal system: orthorhombic
&SYSTEM
  ibrav = 0, nat = 4, ntyp = 3
/
ATOMIC_SPECIES
As 74.92 As.upf
Sb 121.76 Sb.upf
Tc 98.00 Tc.upf
ATOMIC_POSITIONS crystal
As 0.000 0.000 0.000
Sb 0.500 0.000 0.500
Tc 0.000 0.500 0.500
As 0.500 0.500 0.000
CELL_PARAMETERS angstrom
-1.563 -2.345 1.777
3.318 -2.879 -0.879
2.411 1.520 4.126